[1]
VASP calculation (PBE-GGA) on an optimized crystal structure of InICl2.

```
InICl2
1.0
2.5303 1.4609 7.9562
-2.5303 1.4609 7.9562
0.0000 -2.9217 7.9562
In I Cl
1 1 2
direct
0.0000 0.0000 0.0000 In
0.5000 0.5000 0.5000 I
0.3917 0.3917 0.3917 Cl
0.6083 0.6083 0.6083 Cl
```

Values from the calculation:
excess energy over the best structure of this formula in the dataset: 0.3731 eV/atom
space-group type: R-3m, No. 166
uncorrected formation energy: -186 kJ/mol of formula units


[2]
VASP calculation (PBE-GGA) on an optimized crystal structure of TcNi2P.

```
TcNi2P
1.0
1.7969 -4.1174 0.0000
1.7969 4.1174 0.0000
0.0000 0.0000 6.4252
Tc Ni P
2 4 2
direct
0.0519 0.9481 0.7500 Tc
0.9481 0.0519 0.2500 Tc
0.3562 0.6438 0.5565 Ni
0.3562 0.6438 0.9435 Ni
0.6438 0.3562 0.0565 Ni
0.6438 0.3562 0.4435 Ni
0.2379 0.7621 0.2500 P
0.7621 0.2379 0.7500 P
```

Values from the calculation:
energy relative to the elements: -320 meV/atom
space-group type: Cmcm, No. 63


[3]
VASP calculation (PBE-GGA) on an optimized crystal structure of Tm2ThC.

```
Tm2ThC
1.0
1.7326 1.0003 9.7537
-1.7326 1.0003 9.7537
0.0000 -2.0006 9.7537
Tm Th C
2 1 1
direct
0.1212 0.1212 0.1212 Tm
0.8788 0.8788 0.8788 Tm
0.0000 0.0000 0.0000 Th
0.5000 0.5000 0.5000 C
```

Values from the calculation:
energy relative to the elements: -102 meV/atom
space-group type: R-3m, No. 166


[4]
VASP calculation (PBE-GGA) on an optimized crystal structure of BaGd2Ir.

```
BaGd2Ir
1.0
3.5965 0.0000 0.0000
0.0000 3.5965 0.0000
0.0000 0.0000 9.9448
Ba Gd Ir
1 2 1
direct
0.0000 0.0000 0.0000 Ba
0.5000 0.5000 0.3412 Gd
0.5000 0.5000 0.6588 Gd
0.0000 0.0000 0.5000 Ir
```

Values from the calculation:
energy relative to the elements: -322 meV/atom
excess energy over the best structure of this formula in the dataset: 0.0834 eV/atom
space-group type: P4/mmm, No. 123


[5]
VASP calculation (PBE-GGA) on an optimized crystal structure of Cs3Sr.

```
Cs3Sr
1.0
10.2067 0.0000 0.0000
-5.1034 8.8393 0.0000
0.0000 0.0000 8.2984
Cs Sr
6 2
direct
0.1718 0.3435 0.2500 Cs
0.1718 0.8282 0.2500 Cs
0.3435 0.1718 0.7500 Cs
0.6565 0.8282 0.2500 Cs
0.8282 0.1718 0.7500 Cs
0.8282 0.6565 0.7500 Cs
0.3333 0.6667 0.7500 Sr
0.6667 0.3333 0.2500 Sr
```

Values from the calculation:
energy relative to the elements: 135 meV/atom
excess energy over the best structure of this formula in the dataset: 0.0048 eV/atom
space-group type: P6_3/mmc, No. 194


[6]
VASP calculation (PBE-GGA) on an optimized crystal structure of KSnI3.

```
KSnI3
1.0
10.7407 0.0000 0.0000
0.0000 4.7055 0.0000
0.0000 0.0000 17.0122
K Sn I
4 4 12
direct
0.0622 0.2500 0.1748 K
0.4378 0.7500 0.6748 K
0.5622 0.2500 0.3252 K
0.9378 0.7500 0.8252 K
0.1697 0.7500 0.4435 Sn
0.3303 0.2500 0.9435 Sn
0.6697 0.7500 0.0565 Sn
0.8303 0.2500 0.5565 Sn
0.0120 0.7500 0.6154 I
0.1572 0.7500 0.0148 I
0.2020 0.2500 0.7841 I
0.2980 0.7500 0.2841 I
0.3428 0.2500 0.5148 I
0.4880 0.2500 0.1154 I
0.5120 0.7500 0.8846 I
0.6572 0.7500 0.4852 I
0.7020 0.2500 0.7159 I
0.7980 0.7500 0.2159 I
0.8428 0.2500 0.9852 I
0.9880 0.2500 0.3846 I
```

Values from the calculation:
space-group type: Pnma, No. 62
uncorrected formation energy: -430 kJ/mol of formula units


[7]
VASP calculation (PBE-GGA) on an optimized crystal structure of Cu3PSe.

```
Cu3PSe
1.0
4.4116 0.0000 0.0000
0.0000 4.4116 0.0000
0.0000 0.0000 4.4116
Cu P Se
3 1 1
direct
0.0000 0.0000 0.5000 Cu
0.0000 0.5000 0.0000 Cu
0.5000 0.0000 0.0000 Cu
0.0000 0.0000 0.0000 P
0.5000 0.5000 0.5000 Se
```

Values from the calculation:
excess energy over the best structure of this formula in the dataset: 0.0000 eV/atom
space-group type: Pm-3m, No. 221
uncorrected formation energy: 142 kJ/mol of formula units


[8]
VASP calculation (PBE-GGA) on an optimized crystal structure of BaP2HSe.

```
BaP2HSe
1.0
5.7797 0.0000 0.0000
0.0000 5.7797 0.0000
0.0000 0.0000 4.2707
Ba P H Se
1 2 1 1
direct
0.0000 0.0000 0.0000 Ba
0.0000 0.5000 0.0000 P
0.5000 0.0000 0.0000 P
0.0000 0.0000 0.5000 H
0.5000 0.5000 0.5000 Se
```

Values from the calculation:
final energy: -0.20074 Ry per atom
space-group type: P4/mmm, No. 123


[9]
VASP calculation (PBE-GGA) on an optimized crystal structure of NaMn2Mo.

```
NaMn2Mo
1.0
0.0000 3.1666 3.1666
3.1666 0.0000 3.1666
3.1666 3.1666 0.0000
Na Mn Mo
1 2 1
direct
0.0000 0.0000 0.0000 Na
0.2500 0.2500 0.2500 Mn
0.7500 0.7500 0.7500 Mn
0.5000 0.5000 0.5000 Mo
```

Values from the calculation:
energy relative to the elements: 770 meV/atom
excess energy over the best structure of this formula in the dataset: 0.0000 eV/atom
space-group type: Fm-3m, No. 225


[10]
VASP calculation (PBE-GGA) on an optimized crystal structure of MgTe2Pt.

```
MgTe2Pt
1.0
-2.3806 2.3806 3.9727
2.3806 -2.3806 3.9727
2.3806 2.3806 -3.9727
Mg Te Pt
1 2 1
direct
0.0000 0.0000 0.0000 Mg
0.2500 0.7500 0.5000 Te
0.7500 0.2500 0.5000 Te
0.5000 0.5000 0.0000 Pt
```

Values from the calculation:
space-group type: I4/mmm, No. 139
uncorrected formation energy: 26 kJ/mol of formula units


[11]
VASP calculation (PBE-GGA) on an optimized crystal structure of TbEr2Al.

```
TbEr2Al
1.0
4.7339 0.0000 0.0000
0.0000 4.7339 0.0000
0.0000 0.0000 4.7442
Tb Er Al
1 2 1
direct
0.0000 0.0000 0.0000 Tb
0.0000 0.5000 0.5000 Er
0.5000 0.0000 0.5000 Er
0.5000 0.5000 0.0000 Al
```

Values from the calculation:
energy relative to the elements: -192 meV/atom
excess energy over the best structure of this formula in the dataset: 0.0076 eV/atom
space-group type: P4/mmm, No. 123


[12]
VASP calculation (PBE-GGA) on an optimized crystal structure of BaCdIn2Br6.

```
BaCdIn2Br6
1.0
4.0458 2.3358 6.8440
-4.0458 2.3358 6.8440
0.0000 -4.6717 6.8440
Ba Cd In Br
1 1 2 6
direct
0.0000 0.0000 0.0000 Ba
0.4980 0.4980 0.4980 Cd
0.2912 0.2912 0.2912 In
0.7916 0.7916 0.7916 In
0.1499 0.6967 0.3781 Br
0.2438 0.6227 0.8328 Br
0.3781 0.1499 0.6967 Br
0.6227 0.8328 0.2438 Br
0.6967 0.3781 0.1499 Br
0.8328 0.2438 0.6227 Br
```

Values from the calculation:
space-group type: R3, No. 146
uncorrected formation energy: -1094 kJ/mol of formula units